Record 1
A relaxed structure of TmCdSb, computed with GGA-PBE.

```
data_TmCdSb
_cell_length_a 4.989
_cell_length_b 4.989
_cell_length_c 4.989
_cell_angle_alpha 60.00
_cell_angle_beta 60.00
_cell_angle_gamma 60.00
_space_group_name_H-M_alt 'P 1'
_space_group_IT_number 1
loop_
_space_group_symop_operation_xyz
'x,y,z'
loop_
_atom_site_label
_atom_site_type_symbol
_atom_site_fract_x
_atom_site_fract_y
_atom_site_fract_z
Tm1 Tm 0.000 0.000 0.000
Cd1 Cd 0.500 0.500 0.500
Sb1 Sb 0.750 0.750 0.750
```

## Properties
* energy above the most stable polymorph in this dataset: 212 meV/atom
* space-group type: F-43m (216)
* calculated volume: 29.27 Å³ per atom

***

Record 2
A relaxed structure of ReAgSb, computed with GGA-PBE.

```
data_ReAgSb
_cell_length_a 4.445
_cell_length_b 4.445
_cell_length_c 4.445
_cell_angle_alpha 60.00
_cell_angle_beta 60.00
_cell_angle_gamma 60.00
_space_group_name_H-M_alt 'P 1'
_space_group_IT_number 1
loop_
_space_group_symop_operation_xyz
'x,y,z'
loop_
_atom_site_label
_atom_site_type_symbol
_atom_site_fract_x
_atom_site_fract_y
_atom_site_fract_z
Re1 Re 0.000 0.000 0.000
Ag1 Ag 0.500 0.500 0.500
Sb1 Sb 0.750 0.750 0.750
```

## Properties
* final energy: -0.204 Ha/atom
* space-group type: F-43m (216)
* calculated volume: 20.70 Å³ per atom

***

Record 3
A relaxed structure of Sc2Ga4FeIr, computed with GGA-PBE.

```
data_Sc2Ga4FeIr
_cell_length_a 6.590
_cell_length_b 5.294
_cell_length_c 5.294
_cell_angle_alpha 45.85
_cell_angle_beta 90.00
_cell_angle_gamma 90.00
_space_group_name_H-M_alt 'P 1'
_space_group_IT_number 1
loop_
_space_group_symop_operation_xyz
'x,y,z'
loop_
_atom_site_label
_atom_site_type_symbol
_atom_site_fract_x
_atom_site_fract_y
_atom_site_fract_z
Sc1 Sc 0.000 0.000 0.000
Sc2 Sc 0.500 0.157 0.157
Ga1 Ga 0.194 0.710 0.710
Ga2 Ga 0.293 0.442 0.442
Ga3 Ga 0.707 0.442 0.442
Ga4 Ga 0.806 0.710 0.710
Fe1 Fe 0.000 0.282 0.282
Ir1 Ir 0.500 0.873 0.873
```

## Properties
* final energy: -0.213 Ha/atom
* space-group type: Amm2 (38)
* calculated volume: 16.57 Å³ per atom

***

Record 4
A relaxed structure of NbGaSn, computed with GGA-PBE.

```
data_NbGaSn
_cell_length_a 4.524
_cell_length_b 4.524
_cell_length_c 4.524
_cell_angle_alpha 60.00
_cell_angle_beta 60.00
_cell_angle_gamma 60.00
_space_group_name_H-M_alt 'P 1'
_space_group_IT_number 1
loop_
_space_group_symop_operation_xyz
'x,y,z'
loop_
_atom_site_label
_atom_site_type_symbol
_atom_site_fract_x
_atom_site_fract_y
_atom_site_fract_z
Nb1 Nb 0.000 0.000 0.000
Ga1 Ga 0.250 0.250 0.250
Sn1 Sn 0.500 0.500 0.500
```

## Properties
* energy above the most stable polymorph in this dataset: 100 meV/atom
* space-group type: F-43m (216)
* calculated volume: 21.82 Å³ per atom